1.
Density functional theory data (GGA-PBE) for an optimized crystal structure of KBeCl2.

Cell and atoms, written as extended XYZ:
```
8
Lattice="6.319 0.000 0.000 0.000 6.319 0.000 3.160 3.160 6.022" Properties=species:S:1:pos:R:3 pbc="T T T"
Be 3.160 6.319 3.011
Be 3.160 3.160 0.000
K 6.319 3.160 3.011
K 0.000 0.000 0.000
Cl 4.739 5.530 4.516
Cl 7.899 7.108 4.516
Cl 2.370 4.739 1.505
Cl 3.949 1.580 1.505
```

**Energy above the most stable polymorph in this dataset**: 215 meV per atom
**SG**: I-42d
**Uncorrected formation energy**: -3.08 eV/f.u.

2.
Density functional theory data (GGA-PBE) for an optimized crystal structure of CsSiSe2N.

Cell and atoms, written as extended XYZ:
```
5
Lattice="5.934 0.000 0.000 0.000 5.934 0.000 0.000 0.000 4.436" Properties=species:S:1:pos:R:3 pbc="T T T"
Se 2.967 0.000 0.000
Se 0.000 2.967 0.000
Cs 0.000 0.000 0.000
Si 2.967 2.967 2.218
N 0.000 0.000 2.218
```

**Energy above the most stable polymorph in this dataset**: 1964 meV per atom
**SG**: P4/mmm
**Uncorrected formation energy**: 9.90 eV/f.u.

3.
Density functional theory data (GGA-PBE) for an optimized crystal structure of Sc2TcMo.

Cell and atoms, written as extended XYZ:
```
4
Lattice="3.314 0.000 0.000 0.000 4.714 0.000 0.000 0.000 4.495" Properties=species:S:1:pos:R:3 pbc="T T T"
Sc 1.657 2.357 0.000
Sc 0.000 0.000 0.000
Tc 1.657 0.000 2.248
Mo 0.000 2.357 2.248
```

**Energy above the most stable polymorph in this dataset**: 199 meV per atom
**SG**: Pmmm
**E_form**: 0.076 eV/atom

4.
Density functional theory data (GGA-PBE) for an optimized crystal structure of In3AuSe4.

Cell and atoms, written as extended XYZ:
```
8
Lattice="-5.417 -1.294 -3.021 1.998 -5.921 -1.046 -0.882 1.773 7.468" Properties=species:S:1:pos:R:3 pbc="T T T"
In -0.297 -3.878 2.194
In -4.005 -1.564 1.207
In -1.710 -3.608 -2.033
Au 0.000 0.000 0.000
Se -3.851 -0.206 3.603
Se -0.066 -2.567 4.611
Se -3.215 -5.897 -1.744
Se -1.470 -2.215 0.332
```

**SG**: I-42m
**Uncorrected formation energy**: -2.41 eV/f.u.

5.
Density functional theory data (GGA-PBE) for an optimized crystal structure of KRb2SnS.

Cell and atoms, written as extended XYZ:
```
5
Lattice="-6.185 3.070 1.017 -1.596 -4.807 4.802 2.180 3.117 3.845" Properties=species:S:1:pos:R:3 pbc="T T T"
S 1.090 1.559 1.923
Sn -2.801 0.690 4.832
Rb -3.093 1.535 0.509
Rb -0.798 -2.404 2.401
K 0.000 0.000 0.000
```

**Energy above the most stable polymorph in this dataset**: 461 meV per atom
**SG**: P4/mmm
**Uncorrected formation energy**: 0.49 eV/f.u.

6.
Density functional theory data (GGA-PBE) for an optimized crystal structure of NbCrOs3.

Cell and atoms, written as extended XYZ:
```
5
Lattice="4.692 0.000 0.000 0.000 4.692 0.000 0.000 0.000 4.692" Properties=species:S:1:pos:R:3 pbc="T T T"
Os 0.000 2.346 0.000
Os 2.346 0.000 0.000
Os 0.000 0.000 2.346
Cr 2.346 2.346 2.346
Nb 0.000 0.000 0.000
```

**Energy above the most stable polymorph in this dataset**: 1224 meV per atom
**SG**: Pm-3m
**E_form**: 2.607 eV/atom